First-principles (GGA-PBE) data for crystalline NaAlCoS3 at its relaxed geometry, as listed in the Open Quantum Materials Database.

The energy comes out at -4.90 eV/atom. The density is 2.97 g cm⁻³.

The space group is P2_1/m (No. 11) and the conventional cell measures 7.539, 3.474 and 9.098 Å, with angles of 90.00, 105.54 and 90.00 degrees. The asymmetric unit holds Na at (0.199, 0.250, 0.240), Al at (0.337, 0.750, 0.884), Co at (0.084, 0.250, 0.592), S at (0.117, 0.250, 0.852), S at (0.210, 0.750, 0.526) and S at (0.453, 0.750, 0.150).

=====

First-principles (GGA-PBE) data for crystalline La2PrNiHg3Au2 at its relaxed geometry, as listed in the Open Quantum Materials Database.

The energy comes out at -3.66 eV/atom. The calculation puts the energy relative to the elements at -590 meV/atom. The density is 11.13 g cm⁻³.

The space group is Amm2 (No. 38) and the conventional cell measures 4.023, 13.736 and 7.952 Å, with angles of 90.00, 90.00 and 90.00 degrees. The asymmetric unit holds La at (0.000, 0.198, 0.000), Pr at (0.000, 0.000, 0.592), Ni at (0.000, 0.000, 0.195), Hg at (0.500, 0.000, 0.951), Hg at (0.500, 0.121, 0.320) and Au at (0.500, 0.166, 0.697).

=====

First-principles (GGA-PBE) data for crystalline GaMoOs2 at its relaxed geometry, as listed in the Open Quantum Materials Database.

The energy comes out at -8.79 eV/atom. The density is 15.28 g cm⁻³.

The space group is F-43m (No. 216) and the conventional cell measures 6.192, 6.192 and 6.192 Å, with angles of 90.00, 90.00 and 90.00 degrees. The asymmetric unit holds Ga at (0.000, 0.000, 0.000), Mo at (0.250, 0.250, 0.250), Os at (0.000, 0.000, 0.500) and Os at (0.250, 0.250, 0.750).

=====

First-principles (GGA-PBE) data for crystalline Cd2InW at its relaxed geometry, as listed in the Open Quantum Materials Database.

The energy comes out at -3.57 eV/atom. The density is 10.85 g cm⁻³.

The space group is F-43m (No. 216) and the conventional cell measures 6.844, 6.844 and 6.844 Å, with angles of 90.00, 90.00 and 90.00 degrees. The asymmetric unit holds Cd at (0.000, 0.000, 0.000), Cd at (0.250, 0.250, 0.250), In at (0.000, 0.000, 0.500) and W at (0.250, 0.250, 0.750).

=====

First-principles (GGA-PBE) data for crystalline ErTmCS at its relaxed geometry, as listed in the Open Quantum Materials Database.

The energy comes out at -6.90 eV/atom. The density is 8.59 g cm⁻³.

The space group is P6_3mc (No. 186) and the conventional cell measures 3.6536, 3.6536 and 12.7125 Å, with angles of 90.00, 90.00 and 120.00 degrees. The asymmetric unit holds Er at (0.3333, 0.6667, 0.0000), Tm at (0.3333, 0.6667, 0.2929), C at (0.0000, 0.0000, 0.3961) and S at (0.3333, 0.6667, 0.6473).

=====

First-principles (GGA-PBE) data for crystalline HoNb2P3 at its relaxed geometry, as listed in the Open Quantum Materials Database.

The energy comes out at -7.75 eV/atom. The density is 6.80 g cm⁻³.

The space group is P-3m1 (No. 164) and the conventional cell measures 3.7385, 3.7385 and 8.9451 Å, with angles of 90.00, 90.00 and 120.00 degrees. The asymmetric unit holds Ho at (0.0000, 0.0000, 0.0000), Nb at (0.3333, 0.6667, 0.3542), P at (0.0000, 0.0000, 0.5000) and P at (0.3333, 0.6667, 0.8102).

=====

First-principles (GGA-PBE) data for crystalline PrSmAuSe3 at its relaxed geometry, as listed in the Open Quantum Materials Database.

The energy comes out at -5.22 eV/atom. The density is 8.00 g cm⁻³.

The space group is Cmcm (No. 63) and the conventional cell measures 3.992, 14.135 and 10.675 Å, with angles of 90.00, 90.00 and 90.00 degrees. The asymmetric unit holds Pr at (0.000, 0.000, 0.000), Sm at (0.000, 0.229, 0.250), Au at (0.000, 0.471, 0.750), Se at (0.000, 0.111, 0.750) and Se at (0.000, 0.344, 0.564).

=====

First-principles (GGA-PBE) data for crystalline LiTcSb2 at its relaxed geometry, as listed in the Open Quantum Materials Database.

The energy comes out at -4.67 eV/atom. The density is 7.33 g cm⁻³.

The space group is F-43m (No. 216) and the conventional cell measures 6.808, 6.808 and 6.808 Å, with angles of 90.00, 90.00 and 90.00 degrees. The asymmetric unit holds Li at (0.000, 0.000, 0.000), Tc at (0.250, 0.250, 0.250), Sb at (0.000, 0.000, 0.500) and Sb at (0.250, 0.250, 0.750).

=====

First-principles (GGA-PBE) data for crystalline Ir4Pb4O13 at its relaxed geometry, as listed in the Open Quantum Materials Database.

The energy comes out at -6.44 eV/atom. The density is 11.04 g cm⁻³.

The space group is F-43m (No. 216) and the conventional cell measures 10.280, 10.280 and 10.280 Å, with angles of 90.00, 90.00 and 90.00 degrees. The asymmetric unit holds Ir at (0.125, 0.125, 0.125), Pb at (0.122, 0.122, 0.622), O at (0.000, 0.000, 0.202), O at (0.045, 0.250, 0.250) and O at (0.250, 0.250, 0.750).

=====

First-principles (GGA-PBE) data for crystalline Dy2ErTm4Ni2Te2 at its relaxed geometry, as listed in the Open Quantum Materials Database.

The energy comes out at -5.14 eV/atom. Its energy above the most stable polymorph in this dataset is 0.000 eV/atom. The density is 9.13 g cm⁻³.

The space group is Imm2 (No. 44) and the conventional cell measures 3.825, 15.463 and 9.471 Å, with angles of 90.00, 90.00 and 90.00 degrees. The asymmetric unit holds Dy at (0.000, 0.147, 0.000), Er at (0.000, 0.500, 0.269), Tm at (0.000, 0.185, 0.648), Tm at (0.000, 0.366, 0.853), Ni at (0.000, 0.261, 0.340), Te at (0.000, 0.000, 0.504) and Te at (0.000, 0.500, 0.609).

=====

First-principles (GGA-PBE) data for crystalline PrFe4B4 at its relaxed geometry, as listed in the Open Quantum Materials Database.

The energy comes out at -7.61 eV/atom. The density is 7.10 g cm⁻³.

The space group is P4_2/n (No. 86, origin choice 2) and the conventional cell measures 7.077, 7.077 and 3.804 Å, with angles of 90.00, 90.00 and 90.00 degrees. The asymmetric unit holds Pr at (0.250, 0.250, 0.250), Fe at (0.118, 0.639, 0.143) and B at (0.048, 0.916, 0.145).

=====

First-principles (GGA-PBE) data for crystalline TbYNO at its relaxed geometry, as listed in the Open Quantum Materials Database.

The energy comes out at -7.89 eV/atom. Its energy above the most stable polymorph in this dataset is 0.511 eV/atom. The density is 6.00 g cm⁻³.

The space group is P4/nmm (No. 129, origin choice 2) and the conventional cell measures 4.565, 4.565 and 7.381 Å, with angles of 90.00, 90.00 and 90.00 degrees. The asymmetric unit holds Tb at (0.250, 0.250, 0.065), Y at (0.250, 0.750, 0.500), N at (0.250, 0.250, 0.561) and O at (0.250, 0.750, 0.000).